An optimized crystal structure of NdNpMn2O6. Source: Alexandria via LeMat-Bulk, functional PBE with a Hubbard U.

a = 6.141 Å, b = 6.141 Å, c = 4.508 Å
α = 90.00°, β = 90.00°, γ = 90.00°
Atoms (fractional coordinates):
1 Nd 0.000 0.000 0.000
2 Np 0.500 0.500 0.090
3 Mn 0.000 0.500 0.310
4 Mn 0.500 0.000 0.310
5 O 0.000 0.000 0.522
6 O 0.261 0.261 0.144
7 O 0.261 0.739 0.144
8 O 0.500 0.500 0.602
9 O 0.739 0.261 0.144
10 O 0.739 0.739 0.144

Calculated values
* DFT total energy: -83.5 eV for the cell shown
* symmetry: P4mm
* calculated volume: 170 Å³/f.u.
* calculated density: 5.73 Mg/m³